Entry 1:
Entry from Alexandria via LeMat-Bulk: ZrTlRu after structural relaxation (PBE).

Values from the calculation:
Formation enthalpy at 0 K   70 meV per atom
VASP energy   -19.98 eV for the cell shown
Space-group type   P3m1
Offset from the most stable computed form   0.405 eV per formula unit
V   19.6 Å³/atom

abc: 4.666 4.666 3.122
angles: 90.00 90.00 120.00
Fractional positions:
1 Zr 0.000 0.000 0.000
2 Tl 0.667 0.333 0.530
3 Ru 0.333 0.667 0.305

Entry 2:
Entry from Alexandria via LeMat-Bulk: Sc4GaO after structural relaxation (PBE).

Values from the calculation:
E_form (uncorrected)   -7.05 eV/f.u.
VASP energy   -80.71 eV for the cell shown
Space-group type   Cmc2_1
V   18.0 Å³/atom

abc: 8.146 8.146 6.093
angles: 90.00 90.00 147.73
Fractional positions:
1 Sc 0.001 0.999 0.500
2 Sc 0.194 0.806 0.990
3 Sc 0.195 0.805 0.504
4 Sc 0.397 0.603 0.748
5 Sc 0.603 0.397 0.248
6 Sc 0.805 0.195 0.004
7 Sc 0.806 0.194 0.490
8 Sc 0.999 0.001 0.000
9 Ga 0.397 0.603 0.248
10 Ga 0.603 0.397 0.748
11 O 0.097 0.903 0.248
12 O 0.903 0.097 0.748

Entry 3:
Entry from Alexandria via LeMat-Bulk: ErNp2Si6 after structural relaxation (PBE).

Values from the calculation:
E_form (uncorrected)   -3.26 eV/f.u.
VASP energy   -66.24 eV for the cell shown
Space-group type   P6/mmm
V   18.1 Å³/atom

abc: 7.024 7.024 3.812
angles: 90.00 90.00 120.00
Fractional positions:
1 Er 0.000 0.000 0.000
2 Np 0.333 0.667 0.000
3 Np 0.667 0.333 0.000
4 Si 0.000 0.334 0.500
5 Si 0.000 0.666 0.500
6 Si 0.334 0.000 0.500
7 Si 0.334 0.334 0.500
8 Si 0.666 0.000 0.500
9 Si 0.666 0.666 0.500

Entry 4:
Entry from Alexandria via LeMat-Bulk: TaGeHPd2 after structural relaxation (PBE).

Values from the calculation:
VASP energy   -31.22 eV for the cell shown
Space-group type   P4/mmm
V   13.3 Å³/atom

abc: 3.859 3.859 4.466
angles: 90.00 90.00 90.00
Fractional positions:
1 Ta 0.000 0.000 0.000
2 Ge 0.500 0.500 0.000
3 H 0.000 0.000 0.500
4 Pd 0.000 0.500 0.500
5 Pd 0.500 0.000 0.500

Entry 5:
Entry from Alexandria via LeMat-Bulk: TbHo8Bi6 after structural relaxation (PBE).

Values from the calculation:
Formation enthalpy at 0 K   -498 meV per atom
VASP energy   -72.01 eV for the cell shown
Space-group type   R-3
V   32.8 Å³/atom

abc: 10.740 10.740 10.740
angles: 41.54 41.54 41.54
Fractional positions:
1 Tb 0.000 0.000 0.000
2 Ho 0.122 0.790 0.453
3 Ho 0.210 0.547 0.878
4 Ho 0.333 0.333 0.333
5 Ho 0.453 0.122 0.790
6 Ho 0.547 0.878 0.210
7 Ho 0.667 0.667 0.667
8 Ho 0.790 0.453 0.122
9 Ho 0.878 0.210 0.547
10 Bi 0.062 0.398 0.728
11 Bi 0.272 0.938 0.602
12 Bi 0.398 0.728 0.062
13 Bi 0.602 0.272 0.938
14 Bi 0.728 0.062 0.398
15 Bi 0.938 0.602 0.272

Entry 6:
Entry from Alexandria via LeMat-Bulk: Hf2Zr2Ag after structural relaxation (PBE).

Values from the calculation:
Formation enthalpy at 0 K   217 meV per atom
VASP energy   -77.54 eV for the cell shown
Space-group type   P4/mbm
Offset from the most stable computed form   0.000 eV per formula unit
V   22.6 Å³/atom

abc: 7.362 7.362 4.178
angles: 90.00 90.00 90.00
Fractional positions:
1 Hf 0.142 0.358 0.000
2 Hf 0.358 0.858 0.000
3 Hf 0.642 0.142 0.000
4 Hf 0.858 0.642 0.000
5 Zr 0.153 0.653 0.500
6 Zr 0.347 0.153 0.500
7 Zr 0.653 0.847 0.500
8 Zr 0.847 0.347 0.500
9 Ag 0.000 0.000 0.000
10 Ag 0.500 0.500 0.000